Compound: CsSmErTe3
Source: OQMD via LeMat-Bulk
Functional: PBE-GGA
Structure: optimized geometry

Cell lengths 9.092, 9.092, 12.019 Å; angles 90.00, 90.00, 149.48 degrees
Element x y z (fractional)
Te  0.563  0.437  0.750
Te  0.122  0.878  0.046
Te  0.122  0.878  0.454
Te  0.878  0.122  0.954
Te  0.437  0.563  0.250
Te  0.878  0.122  0.546
Sm  0.500  0.500  0.000
Sm  0.500  0.500  0.500
Er  0.034  0.966  0.250
Er  0.966  0.034  0.750
Cs  0.757  0.243  0.250
Cs  0.243  0.757  0.750

Values from the calculation:
* symmetry: Cmcm, No. 63
* magnetization: 0.0 μB/cell
* final energy: -4.52 eV per atom